(1)
# SbTeAsBr2, optimized geometry, DFT PBE
# Polymorph energy (0 for the lowest one)   0.0000 eV/atom
# Magnetization   0.142 μB/atom
# Energy relative to the elements, uncorrected   373.6 meV/atom
# Raw total energy   -13.391 eV/f.u.
data_SbTeAsBr2
_chemical_formula_sum 'Sb1 Te1 As1 Br2'
_cell_length_a 5.3796
_cell_length_b 5.3796
_cell_length_c 5.7913
_cell_angle_alpha 90.00
_cell_angle_beta 90.00
_cell_angle_gamma 90.00
_space_group_name_H-M_alt 'P 1'
_space_group_IT_number 1
loop_
_space_group_symop_operation_xyz
'x,y,z'
loop_
_atom_site_label
_atom_site_type_symbol
_atom_site_fract_x
_atom_site_fract_y
_atom_site_fract_z
Sb1 Sb 0.0000 0.0000 0.0000
As1 As 0.0000 0.0000 0.5000
Te1 Te 0.5000 0.5000 0.5000
Br1 Br 0.0000 0.5000 0.0000
Br2 Br 0.5000 0.0000 0.0000

=====

(2)
# LiMg8Ag2, optimized geometry, DFT PBE
# Polymorph energy (0 for the lowest one)   0.0647 eV/atom
# Magnetization   0.000 μB/atom
# Raw total energy   -20.739 eV/f.u.
# E_form   -0.033 eV per atom
data_LiMg8Ag2
_chemical_formula_sum 'Li1 Mg8 Ag2'
_cell_length_a 5.1805
_cell_length_b 7.4756
_cell_length_c 7.4756
_cell_angle_alpha 116.15
_cell_angle_beta 100.48
_cell_angle_gamma 100.48
_space_group_name_H-M_alt 'P 1'
_space_group_IT_number 1
loop_
_space_group_symop_operation_xyz
'x,y,z'
loop_
_atom_site_label
_atom_site_type_symbol
_atom_site_fract_x
_atom_site_fract_y
_atom_site_fract_z
Li1 Li 0.5000 0.0000 0.0000
Mg1 Mg 0.8935 0.9149 0.6786
Mg2 Mg 0.8935 0.6786 0.9149
Mg3 Mg 0.3048 0.6070 0.6070
Mg4 Mg 0.5000 0.7692 0.2308
Mg5 Mg 0.5000 0.2308 0.7692
Mg6 Mg 0.6952 0.3930 0.3930
Mg7 Mg 0.1065 0.3214 0.0851
Mg8 Mg 0.1065 0.0851 0.3214
Ag1 Ag 0.0000 0.3056 0.6944
Ag2 Ag 0.0000 0.6944 0.3056

=====

(3)
# BaNbSi2, optimized geometry, DFT PBE
# Polymorph energy (0 for the lowest one)   0.3954 eV/atom
# Magnetization   0.554 μB/atom
# Energy relative to the elements, uncorrected   473.9 meV/atom
# Raw total energy   -20.943 eV/f.u.
data_BaNbSi2
_chemical_formula_sum 'Ba1 Nb1 Si2'
_cell_length_a 5.0198
_cell_length_b 5.0198
_cell_length_c 5.0198
_cell_angle_alpha 60.00
_cell_angle_beta 60.00
_cell_angle_gamma 60.00
_space_group_name_H-M_alt 'P 1'
_space_group_IT_number 1
loop_
_space_group_symop_operation_xyz
'x,y,z'
loop_
_atom_site_label
_atom_site_type_symbol
_atom_site_fract_x
_atom_site_fract_y
_atom_site_fract_z
Nb1 Nb 0.0000 0.0000 0.0000
Si1 Si 0.2500 0.2500 0.2500
Si2 Si 0.7500 0.7500 0.7500
Ba1 Ba 0.5000 0.5000 0.5000